DFT (PBE) results for crystalline Li2ThCd3 at its relaxed geometry.

Cell lengths 3.3821, 3.3821, 11.2028 Å; angles 90.00, 90.00, 90.00 degrees
Sites, in units of the cell vectors:
Li  0.0000  0.0000  0.1461
Li  0.0000  0.0000  0.8539
Th  0.0000  0.0000  0.5000
Cd  0.5000  0.5000  0.0000
Cd  0.5000  0.5000  0.2846
Cd  0.5000  0.5000  0.7154

Summary:
* raw total energy: -15.19 eV/cell
* crystal system: tetragonal
* density of states at the Fermi level: 4.20 states/eV/f.u.
* total magnetization: 0.00 μB per formula unit

***

DFT (PBE) results for crystalline HoTmMgRu at its relaxed geometry.

Cell lengths 4.9778, 4.9778, 4.9778 Å; angles 60.00, 60.00, 60.00 degrees
Sites, in units of the cell vectors:
Ho  0.0000  0.0000  0.0000
Tm  0.5000  0.5000  0.5000
Mg  0.2500  0.2500  0.2500
Ru  0.7500  0.7500  0.7500

Summary:
* crystal system: cubic
* density of states at the Fermi level: 3.57 states/eV/f.u.
* energy relative to the lowest polymorph listed for this composition: 0.42 eV per formula unit
* total magnetization: 0.00 μB per formula unit

***

DFT (PBE) results for crystalline Y2SbMo at its relaxed geometry.

Cell lengths 9.8120, 9.8120, 9.8120 Å; angles 20.73, 20.73, 20.73 degrees
Sites, in units of the cell vectors:
Y  0.0000  0.0000  0.0000
Y  0.2276  0.2276  0.2276
Sb  0.4749  0.4749  0.4749
Mo  0.7455  0.7455  0.7455

Summary:
* raw formation energy: 119 meV per atom
* crystal system: trigonal
* density of states at the Fermi level: 4.40 states/eV/f.u.
* total magnetization: 0.98 μB per formula unit

***

DFT (PBE) results for crystalline CaPRhCl2 at its relaxed geometry.

Cell lengths 5.0827, 5.0827, 5.8612 Å; angles 90.00, 90.00, 90.00 degrees
Sites, in units of the cell vectors:
Ca  0.0000  0.0000  0.0000
P  0.0000  0.0000  0.5000
Rh  0.5000  0.5000  0.5000
Cl  0.0000  0.5000  0.0000
Cl  0.5000  0.0000  0.0000

Summary:
* raw formation energy: 191 meV per atom
* crystal system: tetragonal
* density of states at the Fermi level: 7.58 states/eV/f.u.
* energy relative to the lowest polymorph listed for this composition: 4.16 eV per formula unit
* total magnetization: 3.71 μB per formula unit

***

DFT (PBE) results for crystalline NdTm2Sn at its relaxed geometry.

Cell lengths 6.5803, 6.5803, 9.2483 Å; angles 90.00, 90.00, 141.90 degrees
Sites, in units of the cell vectors:
Nd  0.0558  0.9442  0.7500
Nd  0.9442  0.0558  0.2500
Tm  0.3636  0.6364  0.5515
Tm  0.3636  0.6364  0.9485
Tm  0.6364  0.3636  0.0515
Tm  0.6364  0.3636  0.4485
Sn  0.2429  0.7571  0.2500
Sn  0.7571  0.2429  0.7500

Summary:
* crystal system: orthorhombic
* density of states at the Fermi level: 5.33 states/eV/f.u.
* energy relative to the lowest polymorph listed for this composition: 0.21 eV per formula unit
* total magnetization: 0.78 μB per formula unit

***

DFT (PBE) results for crystalline Tb2ThTe at its relaxed geometry.

Cell lengths 3.8248, 3.8248, 8.1496 Å; angles 90.00, 90.00, 90.00 degrees
Sites, in units of the cell vectors:
Tb  0.0000  0.0000  0.2246
Tb  0.0000  0.0000  0.7754
Th  0.5000  0.5000  0.5000
Te  0.5000  0.5000  0.0000

Summary:
* raw formation energy: -575 meV per atom
* crystal system: tetragonal
* density of states at the Fermi level: 2.79 states/eV/f.u.
* energy relative to the lowest polymorph listed for this composition: 0.00 eV per formula unit
* total magnetization: 0.00 μB per formula unit

***

DFT (PBE) results for crystalline LiTl2PS4 at its relaxed geometry.

Cell lengths 13.5652, 12.4286, 6.8558 Å; angles 84.12, 65.70, 30.18 degrees
Sites, in units of the cell vectors:
Li  0.1250  0.1250  0.1250
Li  0.8750  0.8750  0.8750
Tl  0.0659  0.0659  0.6841
Tl  0.3159  0.3159  0.9341
Tl  0.6841  0.6841  0.0659
Tl  0.9341  0.9341  0.3159
P  0.3750  0.3750  0.3750
P  0.6250  0.6250  0.6250
S  0.0263  0.6273  0.5289
S  0.3174  0.5289  0.6273
S  0.3727  0.9737  0.6826
S  0.4711  0.6826  0.9737
S  0.5289  0.3174  0.0263
S  0.6273  0.0263  0.3174
S  0.6826  0.4711  0.3727
S  0.9737  0.3727  0.4711

Summary:
* raw formation energy: -557 meV per atom
* crystal system: orthorhombic
* density of states at the Fermi level: 0.00 states/eV/f.u.
* total magnetization: 0.00 μB per formula unit

***

DFT (PBE) results for crystalline MgTlGe2 at its relaxed geometry.

Cell lengths 5.0356, 5.0356, 5.0356 Å; angles 60.00, 60.00, 60.00 degrees
Sites, in units of the cell vectors:
Mg  0.0000  0.0000  0.0000
Tl  0.5000  0.5000  0.5000
Ge  0.2500  0.2500  0.2500
Ge  0.7500  0.7500  0.7500

Summary:
* crystal system: cubic
* density of states at the Fermi level: 2.26 states/eV/f.u.
* energy relative to the lowest polymorph listed for this composition: 0.00 eV per formula unit
* total magnetization: 0.00 μB per formula unit

***

DFT (PBE) results for crystalline InRe2Pb at its relaxed geometry.

Cell lengths 3.3747, 3.3747, 6.5256 Å; angles 90.00, 90.00, 90.00 degrees
Sites, in units of the cell vectors:
In  0.0000  0.0000  0.0000
Re  0.5000  0.5000  0.2229
Re  0.5000  0.5000  0.7771
Pb  0.0000  0.0000  0.5000

Summary:
* crystal system: tetragonal
* density of states at the Fermi level: 4.53 states/eV/f.u.
* energy relative to the lowest polymorph listed for this composition: 3.08 eV per formula unit
* total magnetization: 0.00 μB per formula unit

***

DFT (PBE) results for crystalline NdY2Zn at its relaxed geometry.

Cell lengths 10.5206, 10.5206, 10.5206 Å; angles 19.99, 19.99, 19.99 degrees
Sites, in units of the cell vectors:
Nd  0.0000  0.0000  0.0000
Y  0.5691  0.5691  0.5691
Y  0.7629  0.7629  0.7629
Zn  0.1657  0.1657  0.1657

Summary:
* crystal system: trigonal
* density of states at the Fermi level: 4.96 states/eV/f.u.
* energy relative to the lowest polymorph listed for this composition: 0.42 eV per formula unit
* total magnetization: 0.00 μB per formula unit

***

DFT (PBE) results for crystalline Ca2CoN2 at its relaxed geometry.

Cell lengths 6.6041, 6.6041, 6.6041 Å; angles 148.73, 148.73, 44.81 degrees
Sites, in units of the cell vectors:
Ca  0.1522  0.1522  0.0000
Ca  0.8478  0.8478  0.0000
Co  0.5000  0.5000  0.0000
N  0.3555  0.3555  0.0000
N  0.6445  0.6445  0.0000

Summary:
* raw formation energy: -634 meV per atom
* crystal system: tetragonal
* density of states at the Fermi level: 3.27 states/eV/f.u.
* total magnetization: 2.15 μB per formula unit

***

DFT (PBE) results for crystalline CdGaPb at its relaxed geometry.

Cell lengths 4.8708, 4.8708, 4.8708 Å; angles 60.00, 60.00, 60.00 degrees
Sites, in units of the cell vectors:
Cd  0.0000  0.0000  0.0000
Ga  0.2500  0.2500  0.2500
Pb  0.5000  0.5000  0.5000

Summary:
* crystal system: cubic
* density of states at the Fermi level: 1.83 states/eV/f.u.
* energy relative to the lowest polymorph listed for this composition: 0.19 eV per formula unit
* total magnetization: 0.00 μB per formula unit